(1)
U3Ag5Se12: optimized geometry, PBE-GGA.

Properties
- N(E_F) (states/eV/cell) = 165.6
- electronic total energy (eV per formula unit) = -99.155
- total moment (μB/cell) = 21.647

abc: 15.9640 15.9640 15.9640
angles: 90.00 90.00 90.00
Closest atoms and distances in Å follow each position.
Space group Ia-3d (No. 230)
Asymmetric unit:
U 0.0000 0.2500 0.1250 (multiplicity 24)  8 Se 2.91-2.97
Ag 0.0000 0.0000 0.0000 (multiplicity 16)  6 Se 2.71
Ag 0.0000 0.2500 0.3750 (multiplicity 24)  4 Se 2.58
Se 0.0170 0.0711 0.6535 (multiplicity 96)  2 Ag 2.58-2.71



(2)
PmBe4Pt6: optimized geometry, PBE-GGA.

Properties
- N(E_F) (states/eV/cell) = 3.6
- ΔH_f (0 K) (eV/atom) = -0.806
- total moment (μB/cell) = 0.000

abc: 6.8813 6.8813 3.7831
angles: 90.00 90.00 120.00
Closest atoms and distances in Å follow each position.
Space group P-6m2 (No. 187)
Asymmetric unit:
Pm 0.0000 0.0000 0.0000 (multiplicity 1)  6 Pt 3.00, 6 Be 3.17
Be 0.3333 0.6667 0.0000 (multiplicity 1)  9 Pt 2.36-2.51
Be 0.4272 0.2136 0.5000 (multiplicity 3)  6 Pt 2.43-2.44, 2 Be 2.47
Pt 0.1949 0.3898 0.5000 (multiplicity 3)  4 Be 2.44-2.51
Pt 0.5317 0.0634 0.0000 (multiplicity 3)  5 Be 2.36-2.43



(3)
AlAg2Pb: optimized geometry, PBE-GGA.

Properties
- N(E_F) (states/eV/cell) = 0.7
- ΔH_f (0 K) (eV/atom) = 0.042
- total moment (μB/cell) = 0.000

abc: 3.2163 3.2163 7.9997
angles: 90.00 90.00 90.00
Closest atoms and distances in Å follow each position.
Space group P4/mmm (No. 123)
Asymmetric unit:
Al 0.0000 0.0000 0.0000 (multiplicity 1)  8 Ag 2.76
Ag 0.5000 0.5000 0.1947 (multiplicity 2)  4 Al 2.76
Pb 0.0000 0.0000 0.5000 (multiplicity 1)  4 Pb 3.22, 8 Ag 3.34



(4)
Ce2Nd3PuAs6: optimized geometry, PBE-GGA.

Properties
- N(E_F) (states/eV/cell) = 42.3
- ΔH_f (0 K) (eV/atom) = -1.405
- total moment (μB/cell) = 12.793

abc: 18.4521 4.2334 8.4598
angles: 90.00 103.33 90.00
Closest atoms and distances in Å follow each position.
Space group C2/m (No. 12)
Asymmetric unit:
Ce 0.1658 0.0000 0.3318 (multiplicity 4)  6 As 2.95-2.98
Nd 0.0000 0.5000 0.5000 (multiplicity 2)  6 As 3.02-3.03
Nd 0.1667 0.0000 0.8339 (multiplicity 4)  6 As 3.02-3.03
Pu 0.0000 0.5000 0.0000 (multiplicity 2)  6 As 2.95-2.96
As 0.0013 0.0000 0.2436 (multiplicity 4)  2 Pu 2.95, 1 Ce 2.95, 3 Nd 3.02-3.03
As 0.1647 0.5000 0.0868 (multiplicity 4)  1 Pu 2.96, 2 Ce 2.96, 3 Nd 3.02-3.03
As 0.1684 0.5000 0.5796 (multiplicity 4)  3 Ce 2.97-2.98, 3 Nd 3.02



(5)
Nd3B2Pt9Rh: optimized geometry, PBE-GGA.

Properties
- N(E_F) (states/eV/cell) = 7.2
- ΔH_f (0 K) (eV/atom) = -0.718
- total moment (μB/cell) = 0.000

abc: 5.7623 5.7623 9.5365
angles: 90.00 90.00 120.00
Closest atoms and distances in Å follow each position.
Space group P-3m1 (No. 164)
Asymmetric unit:
Nd 0.0000 0.0000 0.0000 (multiplicity 1)  12 Pt 2.88-3.10
Nd 0.3333 0.6667 0.5956 (multiplicity 2)  9 Pt 3.13-3.49, 3 Rh 3.45
B 0.3333 0.6667 0.1473 (multiplicity 2)  6 Pt 2.11-2.18
Pt 0.0000 0.5000 0.0000 (multiplicity 3)  2 B 2.18
Pt 0.1624 0.3247 0.2767 (multiplicity 6)  1 B 2.11
Rh 0.0000 0.0000 0.5000 (multiplicity 1)  6 Pt 2.68



(6)
TlAsBr: optimized geometry, PBE-GGA.

Properties
- N(E_F) (states/eV/cell) = 2.6
- electronic total energy (eV per formula unit) = -8.323
- total moment (μB/cell) = 0.000

abc: 4.5459 4.5459 5.0565
angles: 90.00 90.00 120.00
Closest atoms and distances in Å follow each position.
Space group P3m1 (No. 156)
Asymmetric unit:
Tl 0.0000 0.0000 0.0000 (multiplicity 1)  3 As 2.74
As 0.6667 0.3333 0.1562 (multiplicity 1)  3 Tl 2.74
Br 0.3333 0.6667 0.5682 (multiplicity 1)  3 As 3.35, 3 Tl 3.41



(7)
BaPtRh: optimized geometry, PBE-GGA.

Properties
- N(E_F) (states/eV/cell) = 10.2
- ΔH_f (0 K) (eV/atom) = -0.333
- total moment (μB/cell) = 0.000

abc: 6.8616 6.8616 6.8616
angles: 90.00 90.00 90.00
Closest atoms and distances in Å follow each position.
Space group P2_13 (No. 198)
Asymmetric unit:
Ba 0.1213 0.1213 0.1213 (multiplicity 4)  4 Rh 3.34-3.52, 4 Pt 3.43-3.53
Pt 0.0900 0.5900 0.9100 (multiplicity 4)  3 Rh 2.47
Rh 0.1594 0.3406 0.6594 (multiplicity 4)  3 Pt 2.47



(8)
MgTiNF2: optimized geometry, PBE-GGA.

Properties
- N(E_F) (states/eV/cell) = 5.9
- electronic total energy (eV per formula unit) = -26.173
- total moment (μB/cell) = 0.017

abc: 3.7077 3.7077 6.3236
angles: 90.00 90.00 90.00
Closest atoms and distances in Å follow each position.
Space group P4/mmm (No. 123)
Asymmetric unit:
Mg 0.0000 0.0000 0.0000 (multiplicity 1)  4 N 2.62
Ti 0.0000 0.0000 0.5000 (multiplicity 1)  4 F 1.85
N 0.5000 0.5000 0.0000 (multiplicity 1)  4 Mg 2.62
F 0.0000 0.5000 0.5000 (multiplicity 2)  2 Ti 1.85